(1)
Material: K2NaCd2H6
Method: DFT, GGA-PBE
State: relaxed

Results
* volume: 195 Å³ per cell
* electronic total energy: -26.08 eV/f.u.
* calculated density: 2.82 g/cm3
* density of states at the Fermi level: 2.10 states/eV/cell
* magnetic moment: 0.00 μB/f.u.

Cell: 6.0705 6.0705 7.1433 Å, 115.33 115.33 58.28°
Last column: nearest neighbours and their distance in Å.
Sites, in units of the cell vectors:
K  0.2000  0.2000  0.1771  5 H 2.82-2.90
K  0.8000  0.8000  0.8229  5 H 2.82-2.90
Na  0.0000  0.0000  0.5000  6 H 2.30-2.52
Cd  0.4597  0.4597  0.7674  3 H 1.80-1.82
Cd  0.5403  0.5403  0.2326  3 H 1.80-1.82
H  0.1840  0.7030  0.2170  1 Cd 1.82
H  0.2653  0.2653  0.6103  1 Cd 1.80
H  0.2970  0.8160  0.7830  1 Cd 1.82
H  0.7030  0.1840  0.2170  1 Cd 1.82
H  0.7347  0.7347  0.3897  1 Cd 1.80
H  0.8160  0.2970  0.7830  1 Cd 1.82

***

(2)
Material: AlGaFeCu
Method: DFT, GGA-PBE
State: relaxed

Results
* volume: 205 Å³ per cell
* electronic total energy: -19.79 eV/f.u.
* formation energy from the elements: -0.11 eV/atom
* calculated density: 6.99 g/cm3
* density of states at the Fermi level: 8.04 states/eV/cell
* magnetic moment: 1.35 μB/f.u.

Cell: 5.9000 5.9000 5.9000 Å, 90.00 90.00 90.00°
Last column: nearest neighbours and their distance in Å.
Sites, in units of the cell vectors:
Al  0.0000  0.0000  0.0000  4 Fe 2.55, 4 Cu 2.55
Al  0.0000  0.5000  0.5000  4 Fe 2.55, 4 Cu 2.55
Al  0.5000  0.0000  0.5000  4 Fe 2.55, 4 Cu 2.55
Al  0.5000  0.5000  0.0000  4 Fe 2.55, 4 Cu 2.55
Ga  0.0000  0.0000  0.5000  4 Cu 2.55, 4 Fe 2.55
Ga  0.0000  0.5000  0.0000  4 Fe 2.55, 4 Cu 2.55
Ga  0.5000  0.0000  0.0000  4 Fe 2.55, 4 Cu 2.55
Ga  0.5000  0.5000  0.5000  4 Fe 2.55, 4 Cu 2.55
Fe  0.2500  0.2500  0.7500  4 Al 2.55, 4 Ga 2.55
Fe  0.2500  0.7500  0.2500  4 Al 2.55, 4 Ga 2.55
Fe  0.7500  0.2500  0.2500  4 Al 2.55, 4 Ga 2.55
Fe  0.7500  0.7500  0.7500  4 Al 2.55, 4 Ga 2.55
Cu  0.2500  0.2500  0.2500  4 Al 2.55, 4 Ga 2.55
Cu  0.2500  0.7500  0.7500  4 Al 2.55, 4 Ga 2.55
Cu  0.7500  0.2500  0.7500  4 Al 2.55, 4 Ga 2.55
Cu  0.7500  0.7500  0.2500  4 Al 2.55, 4 Ga 2.55

***

(3)
Material: Ba2Ca3Pt2
Method: DFT, GGA-PBE
State: relaxed

Results
* volume: 475 Å³ per cell
* electronic total energy: -26.19 eV/f.u.
* formation energy from the elements: -0.61 eV/atom
* calculated density: 5.49 g/cm3
* density of states at the Fermi level: 6.43 states/eV/cell
* magnetic moment: 0.00 μB/f.u.

Cell: 13.0023 4.3204 9.4181 Å, 90.00 116.21 90.00°
Last column: nearest neighbours and their distance in Å.
Sites, in units of the cell vectors:
Ba  0.1589  0.0000  0.2930  2 Pt 3.26
Ba  0.3411  0.5000  0.7070  2 Pt 3.26
Ba  0.6589  0.5000  0.2930  2 Pt 3.26
Ba  0.8411  0.0000  0.7070  2 Pt 3.26
Ca  0.0000  0.5000  0.5000  4 Pt 3.15
Ca  0.1338  0.5000  0.9275  3 Pt 2.95-3.11
Ca  0.3662  0.0000  0.0725  3 Pt 2.95-3.11
Ca  0.5000  0.0000  0.5000  4 Pt 3.15
Ca  0.6338  0.0000  0.9275  3 Pt 2.95-3.11
Ca  0.8662  0.5000  0.0725  3 Pt 2.95-3.11
Pt  0.1627  0.0000  0.7349  5 Ca 2.95-3.15, 2 Ba 3.26
Pt  0.3373  0.5000  0.2651  5 Ca 2.95-3.15, 2 Ba 3.26
Pt  0.6627  0.5000  0.7349  5 Ca 2.95-3.15, 2 Ba 3.26
Pt  0.8373  0.0000  0.2651  5 Ca 2.95-3.15, 2 Ba 3.26

***

(4)
Material: TcAs2Ru
Method: DFT, GGA-PBE
State: relaxed

Results
* volume: 126 Å³ per cell
* electronic total energy: -29.33 eV/f.u.
* formation energy from the elements: -0.10 eV/atom
* calculated density: 9.22 g/cm3
* density of states at the Fermi level: 4.43 states/eV/cell
* magnetic moment: 0.00 μB/f.u.

Cell: 8.5441 3.1339 4.8486 Å, 90.00 104.63 90.00°
Last column: nearest neighbours and their distance in Å.
Sites, in units of the cell vectors:
Tc  0.0000  0.0000  0.0000  5 As 2.40-2.59
Tc  0.5000  0.5000  0.0000  5 As 2.40-2.59
As  0.0174  0.5000  0.5828  3 Ru 2.55-2.56, 2 Tc 2.59
As  0.2812  0.0000  0.0037  3 Tc 2.40-2.44, 2 Ru 2.53
As  0.5174  0.0000  0.5828  3 Ru 2.55-2.56, 2 Tc 2.59
As  0.7812  0.5000  0.0037  3 Tc 2.40-2.44, 2 Ru 2.53
Ru  0.2766  0.5000  0.4102  5 As 2.53-2.56
Ru  0.7766  0.0000  0.4102  5 As 2.53-2.56

***

(5)
Material: ReHN
Method: DFT, GGA-PBE
State: relaxed

Results
* volume: 64 Å³ per cell
* electronic total energy: -23.35 eV/f.u.
* calculated density: 10.52 g/cm3
* density of states at the Fermi level: 1.26 states/eV/cell
* magnetic moment: 0.00 μB/f.u.

Cell: 2.7777 2.8488 9.2193 Å, 86.12 85.69 60.95°
Last column: nearest neighbours and their distance in Å.
Sites, in units of the cell vectors:
Re  0.0000  0.0000  0.0000  3 H 1.90-2.03
Re  0.2669  0.3387  0.2356  2 N 2.05-2.06
H  0.3827  0.2745  0.5796  1 N 1.06
H  0.6725  0.7124  0.8846  3 Re 1.90-2.03
N  0.7397  0.2836  0.5350  1 H 1.06
N  0.7437  0.3091  0.4000  1 N 1.24

***

(6)
Material: Ac4CdNi
Method: DFT, GGA-PBE
State: relaxed

Results
* volume: 819 Å³ per cell
* electronic total energy: -24.26 eV/f.u.
* formation energy from the elements: -0.19 eV/atom
* calculated density: 8.75 g/cm3
* density of states at the Fermi level: 26.23 states/eV/cell
* magnetic moment: 0.00 μB/f.u.

Cell: 10.5038 10.5038 10.5038 Å, 60.00 60.00 60.00°
Last column: nearest neighbours and their distance in Å.
Sites, in units of the cell vectors:
Ac  0.0579  0.0579  0.4421  2 Ni 3.09
Ac  0.0579  0.4421  0.0579  2 Ni 3.09
Ac  0.0579  0.4421  0.4421  2 Ni 3.09
Ac  0.1875  0.1875  0.8125  2 Cd 3.61, 2 Ni 3.79, 10 Ac 3.80-3.94
Ac  0.1875  0.8125  0.1875  2 Cd 3.61, 2 Ni 3.79, 10 Ac 3.80-3.94
Ac  0.1875  0.8125  0.8125  2 Cd 3.61, 2 Ni 3.79, 10 Ac 3.80-3.94
Ac  0.2097  0.5968  0.5968  3 Ni 3.04
Ac  0.4421  0.0579  0.0579  2 Ni 3.09
Ac  0.4421  0.0579  0.4421  2 Ni 3.09
Ac  0.4421  0.4421  0.0579  2 Ni 3.09
Ac  0.5968  0.2097  0.5968  3 Ni 3.04
Ac  0.5968  0.5968  0.2097  3 Ni 3.04
Ac  0.5968  0.5968  0.5968  3 Ni 3.04
Ac  0.8125  0.1875  0.1875  2 Cd 3.61, 2 Ni 3.79, 10 Ac 3.80-3.94
Ac  0.8125  0.1875  0.8125  2 Cd 3.61, 2 Ni 3.79, 10 Ac 3.80-3.94
Ac  0.8125  0.8125  0.1875  2 Cd 3.61, 2 Ni 3.79, 10 Ac 3.80-3.94
Cd  0.5143  0.8286  0.8286  3 Cd 3.30, 3 Ac 3.61
Cd  0.8286  0.5143  0.8286  3 Cd 3.30, 3 Ac 3.61
Cd  0.8286  0.8286  0.5143  3 Cd 3.30, 3 Ac 3.61
Cd  0.8286  0.8286  0.8286  3 Cd 3.30, 3 Ac 3.61
Ni  0.3928  0.3928  0.3928  6 Ac 3.04-3.09
Ni  0.3928  0.3928  0.8217  6 Ac 3.04-3.09
Ni  0.3928  0.8217  0.3928  6 Ac 3.04-3.09
Ni  0.8217  0.3928  0.3928  6 Ac 3.04-3.09

***

(7)
Material: ReBrO3
Method: DFT, GGA-PBE
State: relaxed

Results
* volume: 258 Å³ per cell
* electronic total energy: -35.13 eV/f.u.
* calculated density: 4.04 g/cm3
* density of states at the Fermi level: 0.00 states/eV/cell
* ΔE_f (raw): -1228 meV per atom
* magnetic moment: 0.00 μB/f.u.

Cell: 5.2339 6.3578 7.7667 Å, 89.76 89.79 89.77°
Last column: nearest neighbours and their distance in Å.
Sites, in units of the cell vectors:
Re  0.0000  0.0000  0.0000  3 O 1.73
Re  0.2206  0.5015  0.5046  3 O 1.73
Br  0.3905  0.1557  0.4958  1 Re 2.37
Br  0.8322  0.6545  0.0093  1 Re 2.37
O  0.3170  0.6292  0.6889  1 Re 1.73
O  0.3219  0.6449  0.3279  1 Re 1.73
O  0.3296  0.9940  0.0005  1 Re 1.73
O  0.8911  0.4960  0.5030  1 Re 1.73
O  0.8988  0.1417  0.1770  1 Re 1.73
O  0.9016  0.1298  0.8159  1 Re 1.73

***

(8)
Material: La3Ce2PmSb6
Method: DFT, GGA-PBE
State: relaxed

Results
* volume: 403 Å³ per cell
* electronic total energy: -70.37 eV/f.u.
* calculated density: 6.48 g/cm3
* density of states at the Fermi level: 13.23 states/eV/cell
* ΔE_f (raw): -1186 meV per atom
* magnetic moment: 1.51 μB/f.u.

Cell: 7.8997 7.8997 7.9112 Å, 99.58 99.58 119.99°
Last column: nearest neighbours and their distance in Å.
Sites, in units of the cell vectors:
La  0.0000  0.0000  0.0000  6 Sb 3.25-3.26
La  0.3337  0.6663  0.0000  6 Sb 3.26
La  0.6663  0.3337  0.0000  6 Sb 3.26
Ce  0.1669  0.8331  0.5000  6 Sb 3.19
Ce  0.8331  0.1669  0.5000  6 Sb 3.19
Pm  0.5000  0.5000  0.5000  6 Sb 3.20
Sb  0.0847  0.4191  0.2576  2 Ce 3.19, 1 Pm 3.20, 3 La 3.26
Sb  0.2462  0.2462  0.7424  2 Ce 3.19, 1 Pm 3.20, 3 La 3.25-3.26
Sb  0.4191  0.0847  0.2576  2 Ce 3.19, 1 Pm 3.20, 3 La 3.26
Sb  0.5809  0.9153  0.7424  2 Ce 3.19, 1 Pm 3.20, 3 La 3.26
Sb  0.7538  0.7538  0.2576  2 Ce 3.19, 1 Pm 3.20, 3 La 3.25-3.26
Sb  0.9153  0.5809  0.7424  2 Ce 3.19, 1 Pm 3.20, 3 La 3.26